Computed, not measured: a geometry-optimized Tb4IrPb2 structure at the PBE-GGA level of DFT.

```
data_Tb4IrPb2
_chemical_formula_sum 'Tb8 Ir2 Pb4'
_cell_length_a 7.2757
_cell_length_b 6.6483
_cell_length_c 8.6167
_cell_angle_alpha 90.00
_cell_angle_beta 106.53
_cell_angle_gamma 90.00
_space_group_name_H-M_alt 'P 1 21/m 1'
_space_group_IT_number 11
loop_
_space_group_symop_operation_xyz
'x,y,z'
'-x,-y,-z'
'-x,y+1/2,-z'
'x,-y+1/2,z'
loop_
_atom_site_label
_atom_site_type_symbol
_atom_site_fract_x
_atom_site_fract_y
_atom_site_fract_z
Tb1 Tb 0.1361 0.0067 0.2907
Tb2 Tb 0.2928 0.7500 0.6600
Tb3 Tb 0.3107 0.2500 0.9112
Ir1 Ir 0.0755 0.2500 0.5791
Pb1 Pb 0.2056 0.7500 0.9905
Pb2 Pb 0.4643 0.2500 0.5883
```

## Properties
ΔE_f = -0.49 eV per atom

Computed, not measured: a geometry-optimized Tb5Ir4Pb structure at the PBE-GGA level of DFT.

```
data_Tb5Ir4Pb
_chemical_formula_sum 'Tb5 Ir4 Pb1'
_cell_length_a 3.3661
_cell_length_b 3.3661
_cell_length_c 19.4386
_cell_angle_alpha 90.00
_cell_angle_beta 90.00
_cell_angle_gamma 90.00
_space_group_name_H-M_alt 'P 4/m m m'
_space_group_IT_number 123
_space_group_name_Hall '-P 4 2'
loop_
_atom_site_label
_atom_site_type_symbol
_atom_site_fract_x
_atom_site_fract_y
_atom_site_fract_z
Tb1 Tb 0.0000 0.0000 0.0000
Tb2 Tb 0.0000 0.0000 0.1853
Tb3 Tb 0.0000 0.0000 0.3693
Ir1 Ir 0.5000 0.5000 0.0930
Ir2 Ir 0.5000 0.5000 0.2806
Pb1 Pb 0.5000 0.5000 0.5000
```

## Properties
ΔE_f = -0.73 eV per atom

Computed, not measured: a geometry-optimized Tb2IrPb structure at the PBE-GGA level of DFT.

```
data_Tb2IrPb
_chemical_formula_sum 'Tb6 Ir3 Pb3'
_cell_length_a 3.9040
_cell_length_b 3.9040
_cell_length_c 25.4610
_cell_angle_alpha 90.00
_cell_angle_beta 90.00
_cell_angle_gamma 120.00
_space_group_name_H-M_alt 'R -3 m'
_space_group_IT_number 166
_space_group_name_Hall '-R 3 2"'
loop_
_atom_site_label
_atom_site_type_symbol
_atom_site_fract_x
_atom_site_fract_y
_atom_site_fract_z
Tb1 Tb 0.0000 0.0000 0.2301
Ir1 Ir 0.0000 0.0000 0.5000
Pb1 Pb 0.0000 0.0000 0.0000
```

## Properties
Distance to the lowest polymorph of the same formula = 10.7 kJ per mole of atoms
ΔE_f = -0.56 eV per atom

Computed, not measured: a geometry-optimized Tb6Te3Ir2Pb structure at the PBE-GGA level of DFT.

```
data_Tb6Te3Ir2Pb
_chemical_formula_sum 'Tb12 Te6 Ir4 Pb2'
_cell_length_a 19.1490
_cell_length_b 4.1903
_cell_length_c 8.8907
_cell_angle_alpha 90.00
_cell_angle_beta 107.23
_cell_angle_gamma 90.00
_space_group_name_H-M_alt 'C 1 2/m 1'
_space_group_IT_number 12
loop_
_space_group_symop_operation_xyz
'x,y,z'
'-x,-y,-z'
'-x,y,-z'
'x,-y,z'
'x+1/2,y+1/2,z'
'-x+1/2,-y+1/2,-z'
'-x+1/2,y+1/2,-z'
'x+1/2,-y+1/2,z'
loop_
_atom_site_label
_atom_site_type_symbol
_atom_site_fract_x
_atom_site_fract_y
_atom_site_fract_z
Tb1 Tb 0.0139 0.0000 0.2606
Tb2 Tb 0.1719 0.5000 0.1193
Tb3 Tb 0.1804 0.5000 0.5589
Te1 Te 0.0000 0.5000 0.5000
Te2 Te 0.1607 0.0000 0.8334
Ir1 Ir 0.1672 0.0000 0.3319
Pb1 Pb 0.0000 0.5000 0.0000
```

## Properties
Final energy = -0.216 hartree per atom

Computed, not measured: a geometry-optimized TbYIrPb structure at the PBE-GGA level of DFT.

```
data_TbYIrPb
_chemical_formula_sum 'Tb4 Y4 Ir4 Pb4'
_cell_length_a 7.2833
_cell_length_b 7.2833
_cell_length_c 7.2833
_cell_angle_alpha 90.00
_cell_angle_beta 90.00
_cell_angle_gamma 90.00
_space_group_name_H-M_alt 'F -4 3 m'
_space_group_IT_number 216
_space_group_name_Hall 'F -4 2 3'
loop_
_atom_site_label
_atom_site_type_symbol
_atom_site_fract_x
_atom_site_fract_y
_atom_site_fract_z
Tb1 Tb 0.0000 0.0000 0.0000
Y1 Y 0.0000 0.0000 0.5000
Ir1 Ir 0.2500 0.2500 0.2500
Pb1 Pb 0.2500 0.2500 0.7500
```

## Properties
Distance to the lowest polymorph of the same formula = 18.4 kJ per mole of atoms
ΔE_f = -0.48 eV per atom

Computed, not measured: a geometry-optimized TbYIrPb structure at the PBE-GGA level of DFT.

```
data_TbYIrPb
_chemical_formula_sum 'Tb1 Y1 Ir1 Pb1'
_cell_length_a 3.5060
_cell_length_b 3.5060
_cell_length_c 8.0471
_cell_angle_alpha 90.00
_cell_angle_beta 90.00
_cell_angle_gamma 90.00
_space_group_name_H-M_alt 'P 4 m m'
_space_group_IT_number 99
loop_
_space_group_symop_operation_xyz
'x,y,z'
'-y,x,z'
'-x,-y,z'
'y,-x,z'
'-x,y,z'
'y,x,z'
'x,-y,z'
'-y,-x,z'
loop_
_atom_site_label
_atom_site_type_symbol
_atom_site_fract_x
_atom_site_fract_y
_atom_site_fract_z
Tb1 Tb 0.0000 0.0000 0.0000
Y1 Y 0.0000 0.0000 0.5902
Ir1 Ir 0.5000 0.5000 0.7957
Pb1 Pb 0.5000 0.5000 0.2968
```

## Properties
Distance to the lowest polymorph of the same formula = 0.0 kJ per mole of atoms
ΔE_f = -0.67 eV per atom

Computed, not measured: a geometry-optimized TcIrPb2 structure at the PBE-GGA level of DFT.

```
data_TcIrPb2
_chemical_formula_sum 'Tc1 Ir1 Pb2'
_cell_length_a 4.7089
_cell_length_b 3.2783
_cell_length_c 5.5916
_cell_angle_alpha 90.00
_cell_angle_beta 113.58
_cell_angle_gamma 90.00
_space_group_name_H-M_alt 'P 1 2/m 1'
_space_group_IT_number 10
loop_
_space_group_symop_operation_xyz
'x,y,z'
'-x,-y,-z'
'-x,y,-z'
'x,-y,z'
loop_
_atom_site_label
_atom_site_type_symbol
_atom_site_fract_x
_atom_site_fract_y
_atom_site_fract_z
Tc1 Tc 0.0000 0.0000 0.0000
Ir1 Ir 0.0000 0.5000 0.5000
Pb1 Pb 0.5000 0.0000 0.5000
Pb2 Pb 0.5000 0.5000 0.0000
```

## Properties
Distance to the lowest polymorph of the same formula = 9.3 kJ per mole of atoms
ΔE_f = 0.68 eV per atom

Computed, not measured: a geometry-optimized Tc2IrPb structure at the PBE-GGA level of DFT.

```
data_Tc2IrPb
_chemical_formula_sum 'Tc4 Ir2 Pb2'
_cell_length_a 4.0552
_cell_length_b 4.0552
_cell_length_c 8.0353
_cell_angle_alpha 90.00
_cell_angle_beta 90.00
_cell_angle_gamma 90.00
_space_group_name_H-M_alt 'I -4 m 2'
_space_group_IT_number 119
_space_group_name_Hall 'I -4 -2'
loop_
_atom_site_label
_atom_site_type_symbol
_atom_site_fract_x
_atom_site_fract_y
_atom_site_fract_z
Tc1 Tc 0.0000 0.0000 0.0000
Tc2 Tc 0.0000 0.5000 0.2500
Ir1 Ir 0.0000 0.0000 0.5000
Pb1 Pb 0.0000 0.5000 0.7500
```

## Properties
ΔE_f = 0.50 eV per atom

Listing V for the structures above in their given order: 28.542 22.024 28.006 28.391 24.147 24.729 19.778 16.517 Å³/atom.
Listing Fermi-level density of states for the structures above in their given order: 12.28 4.73 7.56 10.85 14.23 1.73 3.23 9.72 states/eV/cell.
Listing magnetic moment for the structures above in their given order: 0.00 0.00 0.00 0.00 0.00 0.00 0.00 1.06 μB/f.u..